[1]
Material: SrPm4Eu
Method: DFT, PBE
State: relaxed

The formation energy from the elements is 0.20 eV per atom. The calculation puts the mass density at 5.63 g cm⁻³. The value obtained for the density of states at the Fermi level is 15.73 states/eV/f.u. As for the electronic total energy: -119.09 eV/cell.

The space group is F-43m (No. 216) and the conventional cell measures 9.8859, 9.8859 and 9.8859 Å, with angles of 90.00, 90.00 and 90.00 degrees. The distinct sites, in fractional coordinates, are Sr at (0.0000, 0.0000, 0.0000), Pm at (0.1242, 0.1242, 0.3758) and Eu at (0.2500, 0.2500, 0.7500).


[2]
Material: SrPmEu2
Method: DFT, PBE
State: relaxed

The formation energy from the elements is 0.07 eV per atom. The calculation puts the mass density at 5.26 g cm⁻³. The distance to the lowest polymorph of the same formula comes out at 3 meV/atom. The value obtained for the density of states at the Fermi level is 10.91 states/eV/f.u. As for the electronic total energy: -80.09 eV/cell.

The space group is R-3m (No. 166, hexagonal axes) and the conventional cell measures 3.9004, 3.9004 and 38.5961 Å, with angles of 90.00, 90.00 and 120.00 degrees. The distinct sites, in fractional coordinates, are Sr at (0.0000, 0.0000, 0.0000), Pm at (0.0000, 0.0000, 0.5000) and Eu at (0.0000, 0.0000, 0.2450).


[3]
Material: Sr2PmEu
Method: DFT, PBE
State: relaxed

The formation energy from the elements is 0.16 eV per atom. The calculation puts the mass density at 4.40 g cm⁻³. The distance to the lowest polymorph of the same formula comes out at 29 meV/atom. The value obtained for the density of states at the Fermi level is 4.34 states/eV/f.u. As for the electronic total energy: -17.74 eV/cell.

The space group is P4/mmm (No. 123) and the conventional cell measures 6.3580, 6.3580 and 4.4070 Å, with angles of 90.00, 90.00 and 90.00 degrees. The distinct sites, in fractional coordinates, are Sr at (0.0000, 0.5000, 0.0000), Pm at (0.0000, 0.0000, 0.5000) and Eu at (0.5000, 0.5000, 0.5000).


[4]
Material: SrPmEu4
Method: DFT, PBE
State: relaxed

The formation energy from the elements is 0.18 eV per atom. The calculation puts the mass density at 5.37 g cm⁻³. The value obtained for the density of states at the Fermi level is 8.69 states/eV/f.u. As for the electronic total energy: -185.73 eV/cell.

The space group is F-43m (No. 216) and the conventional cell measures 10.1289, 10.1289 and 10.1289 Å, with angles of 90.00, 90.00 and 90.00 degrees. The distinct sites, in fractional coordinates, are Sr at (0.0000, 0.0000, 0.0000), Pm at (0.2500, 0.2500, 0.2500) and Eu at (0.1236, 0.1236, 0.6236).